[1]
Here is an optimized crystal structure of Li2CuAg from the Alexandria database. Energies are from PBE.

Properties
The formation energy from the elements is 54 meV/atom. The raw total energy comes out at -2.6395 eV per atom.

abc: 6.9453 6.9453 5.5659
angles: 51.40 51.40 90.00
Last column: nearest neighbours and their distance in Å.
Sites, in units of the cell vectors:
Ag: 0.0000 0.0000 0.0000  4 Li 2.62, 2 Cu 2.62
Ag: 0.7500 0.2500 0.5000  4 Li 2.62, 2 Cu 2.62
Cu: 0.5000 0.5000 0.0000  4 Li 2.47, 2 Ag 2.62
Li: 0.8750 0.8593 0.7500  2 Cu 2.47, 2 Ag 2.62, 2 Li 2.63
Li: 0.1407 0.6250 0.2500  2 Cu 2.47, 2 Ag 2.62, 2 Li 2.63
Li: 0.3750 0.3907 0.7500  2 Cu 2.47, 2 Ag 2.62, 2 Li 2.63
Li: 0.6093 0.1250 0.2500  2 Cu 2.47, 2 Ag 2.62, 2 Li 2.63
Cu: 0.2500 0.7500 0.5000  4 Li 2.47, 2 Ag 2.62

[2]
Here is an optimized crystal structure of Na6HgPb2 from the Alexandria database. Energies are from PBE.

Properties
The formation energy from the elements is -152 meV/atom. The raw total energy comes out at -1.8892 eV per atom. The calculation puts the distance to the lowest polymorph of the same formula at 0 meV per atom.

abc: 6.2917 9.3914 6.3761
angles: 137.43 95.16 90.00
Last column: nearest neighbours and their distance in Å.
Sites, in units of the cell vectors:
Pb: 0.3208 0.3199 0.6398  1 Hg 3.20, 8 Na 3.47-3.55
Na: 0.1696 0.8306 0.3308  5 Na 3.09-3.33
Na: 0.5000 0.8308 0.0000  5 Na 3.09-3.33
Na: 0.8304 0.1694 0.6692  5 Na 3.09-3.33
Pb: 0.6792 0.6801 0.3602  1 Hg 3.20, 8 Na 3.47-3.55
Na: 0.5000 0.1692 0.0000  5 Na 3.09-3.33
Na: 0.8304 0.4998 0.6692  5 Na 3.09-3.33
Hg: 0.0000 0.0000 0.0000  2 Pb 3.20, 12 Na 3.52-3.56
Na: 0.1696 0.5002 0.3308  5 Na 3.09-3.33